Record 1
Density functional theory data (GGA-PBE) for a geometry-optimized Ba2LiAg2 structure.

Structure (POSCAR):
```
Ba2LiAg2
1.0
9.5117 0.0000 0.0000
0.0000 9.5117 0.0000
0.0000 0.0000 4.0245
Ba Li Ag
4 2 4
direct
0.1696 0.3304 0.0000 Ba
0.3304 0.8304 0.0000 Ba
0.6696 0.1696 0.0000 Ba
0.8304 0.6696 0.0000 Ba
0.0000 0.0000 0.0000 Li
0.5000 0.5000 0.0000 Li
0.1173 0.6173 0.5000 Ag
0.3827 0.1173 0.5000 Ag
0.6173 0.8827 0.5000 Ag
0.8827 0.3827 0.5000 Ag
```

The value obtained for the relative energy among the computed polymorphs is 200 meV/atom. As for the total energy: -2.314 eV/atom. For the formation energy from the elements, the calculation gives -2.07 kJ per mole of atoms.

Record 2
Density functional theory data (GGA-PBE) for a geometry-optimized Ba5LiAg4 structure.

Structure (POSCAR):
```
Ba5LiAg4
1.0
10.5981 -2.3793 0.0000
10.5981 2.3793 0.0000
-3.3664 0.0000 7.8949
Ba Li Ag
5 1 4
direct
0.0000 0.0000 0.0000 Ba
0.3115 0.3115 0.7065 Ba
0.3565 0.3565 0.2340 Ba
0.6435 0.6435 0.7660 Ba
0.6885 0.6885 0.2935 Ba
0.0000 0.0000 0.5000 Li
0.1215 0.1215 0.4573 Ag
0.4687 0.4687 0.6470 Ag
0.5313 0.5313 0.3530 Ag
0.8785 0.8785 0.5427 Ag
```

The value obtained for the relative energy among the computed polymorphs is 5 meV/atom. As for the total energy: -2.468 eV/atom. For the formation energy from the elements, the calculation gives -16.84 kJ per mole of atoms.

Record 3
Density functional theory data (GGA-PBE) for a geometry-optimized BaLi3Ag structure.

Structure (POSCAR):
```
BaLi3Ag
1.0
5.8836 0.0000 0.0000
0.0000 5.8836 0.0000
0.0000 0.0000 5.8836
Ba Li Ag
1 3 1
direct
0.0000 0.0000 0.0000 Ba
0.0000 0.0000 0.5000 Li
0.0000 0.5000 0.0000 Li
0.5000 0.0000 0.0000 Li
0.5000 0.5000 0.5000 Ag
```

The value obtained for the relative energy among the computed polymorphs is 1150 meV/atom. As for the total energy: -1.035 eV/atom. For the formation energy from the elements, the calculation gives 103.02 kJ per mole of atoms.

Record 4
Density functional theory data (GGA-PBE) for a geometry-optimized Ba3LiAg structure.

Structure (POSCAR):
```
Ba3LiAg
1.0
6.5138 0.0000 0.0000
0.0000 6.5138 0.0000
0.0000 0.0000 6.5138
Ba Li Ag
3 1 1
direct
0.0000 0.0000 0.5000 Ba
0.0000 0.5000 0.0000 Ba
0.5000 0.0000 0.0000 Ba
0.5000 0.5000 0.5000 Li
0.0000 0.0000 0.0000 Ag
```

The value obtained for the relative energy among the computed polymorphs is 85 meV/atom. As for the total energy: -2.085 eV/atom. For the formation energy from the elements, the calculation gives 2.09 kJ per mole of atoms.

Record 5
Density functional theory data (GGA-PBE) for a geometry-optimized Ba4Li3Ag2 structure.

Structure (POSCAR):
```
Ba4Li3Ag2
1.0
9.3637 -2.3402 0.0000
9.3637 2.3402 0.0000
-2.4292 0.0000 7.5710
Ba Li Ag
4 3 2
direct
0.0720 0.0720 0.3592 Ba
0.2677 0.2677 0.7949 Ba
0.7323 0.7323 0.2051 Ba
0.9280 0.9280 0.6408 Ba
0.4054 0.4054 0.2529 Li
0.5000 0.5000 0.0000 Li
0.5946 0.5946 0.7471 Li
0.1029 0.1029 0.9409 Ag
0.8971 0.8971 0.0591 Ag
```

As for the total energy: -2.220 eV/atom. For the formation energy from the elements, the calculation gives -9.07 kJ per mole of atoms.

Record 6
Density functional theory data (GGA-PBE) for a geometry-optimized Ba4Li3Ag structure.

Structure (POSCAR):
```
Ba4Li3Ag
1.0
4.9961 0.0000 0.0000
0.0000 5.0478 0.0000
0.0000 0.0000 13.3113
Ba Li Ag
4 3 1
direct
0.0000 0.0000 0.0000 Ba
0.0000 0.5000 0.2708 Ba
0.5000 0.0000 0.4770 Ba
0.5000 0.5000 0.7801 Ba
0.0000 0.0000 0.6922 Li
0.0000 0.5000 0.5673 Li
0.5000 0.5000 0.0822 Li
0.5000 0.0000 0.1922 Ag
```

As for the total energy: -2.078 eV/atom. For the formation energy from the elements, the calculation gives -4.08 kJ per mole of atoms.

Record 7
Density functional theory data (GGA-PBE) for a geometry-optimized Ba2Li3Ag4 structure.

Structure (POSCAR):
```
Ba2Li3Ag4
1.0
0.0000 5.5243 15.9293
2.7459 0.0000 15.9293
2.7459 5.5243 0.0000
Ba Li Ag
4 6 8
direct
0.0456 0.0456 0.2044 Ba
0.2044 0.2044 0.0456 Ba
0.7956 0.7956 0.9544 Ba
0.9544 0.9544 0.7956 Ba
0.1229 0.1229 0.6271 Li
0.3729 0.3729 0.8771 Li
0.3750 0.3750 0.3750 Li
0.6250 0.6250 0.6250 Li
0.6271 0.6271 0.1229 Li
0.8771 0.8771 0.3729 Li
0.1065 0.5019 0.2631 Ag
0.2631 0.6284 0.1065 Ag
0.3716 0.7369 0.4981 Ag
0.4981 0.8935 0.3716 Ag
0.5019 0.1065 0.6284 Ag
0.6284 0.2631 0.5019 Ag
0.7369 0.3716 0.8935 Ag
0.8935 0.4981 0.7369 Ag
```

As for the total energy: -2.479 eV/atom. For the formation energy from the elements, the calculation gives -14.17 kJ per mole of atoms.

Record 8
Density functional theory data (GGA-PBE) for a geometry-optimized BaLi2Ag9 structure.

Structure (POSCAR):
```
BaLi2Ag9
1.0
-5.6599 5.6599 3.7510
5.6599 -5.6599 3.7510
5.6599 5.6599 -3.7510
Ba Li Ag
2 4 18
direct
0.3750 0.6250 0.7500 Ba
0.6250 0.3750 0.2500 Ba
0.0000 0.0000 0.0000 Li
0.0000 0.0000 0.5000 Li
0.0000 0.5000 0.0000 Li
0.5000 0.0000 0.5000 Li
0.1250 0.8750 0.2500 Ag
0.1426 0.5660 0.3299 Ag
0.1426 0.8126 0.5766 Ag
0.1874 0.2640 0.3299 Ag
0.1874 0.8574 0.9234 Ag
0.2640 0.1874 0.8299 Ag
0.2640 0.4340 0.0766 Ag
0.4340 0.2640 0.5766 Ag
0.4340 0.8574 0.1701 Ag
0.5660 0.1426 0.8299 Ag
0.5660 0.7360 0.4234 Ag
0.7360 0.5660 0.9234 Ag
0.7360 0.8126 0.1701 Ag
0.8126 0.1426 0.0766 Ag
0.8126 0.7360 0.6701 Ag
0.8574 0.1874 0.4234 Ag
0.8574 0.4340 0.6701 Ag
0.8750 0.1250 0.7500 Ag
```

As for the total energy: -2.772 eV/atom. For the formation energy from the elements, the calculation gives -14.92 kJ per mole of atoms.

Record 9
Density functional theory data (GGA-PBE) for a geometry-optimized Ba2Li12Ag7 structure.

Structure (POSCAR):
```
Ba2Li12Ag7
1.0
10.5083 0.0000 0.0000
-5.2542 9.1005 0.0000
0.0000 0.0000 4.5689
Ba Li Ag
2 12 7
direct
0.0000 0.0000 0.0000 Ba
0.3333 0.6667 0.5000 Ba
0.1675 0.3783 0.0000 Li
0.2107 0.8325 0.0000 Li
0.2936 0.2887 0.5000 Li
0.3810 0.1714 0.0000 Li
0.5491 0.1524 0.5000 Li
0.6033 0.4509 0.5000 Li
0.6217 0.7893 0.0000 Li
0.7113 0.0048 0.5000 Li
0.7904 0.6190 0.0000 Li
0.8286 0.2096 0.0000 Li
0.8476 0.3967 0.5000 Li
0.9952 0.7064 0.5000 Li
0.0065 0.5290 0.0000 Ag
0.0109 0.2694 0.5000 Ag
0.2585 0.9891 0.5000 Ag
0.4710 0.4775 0.0000 Ag
0.5225 0.9935 0.0000 Ag
0.6667 0.3333 0.0000 Ag
0.7306 0.7415 0.5000 Ag
```

As for the total energy: -2.383 eV/atom. For the formation energy from the elements, the calculation gives -15.03 kJ per mole of atoms.

Record 10
Density functional theory data (GGA-PBE) for a geometry-optimized BaLiAg structure.

Structure (POSCAR):
```
BaLiAg
1.0
7.6293 0.0000 0.0000
0.0000 7.6293 0.0000
0.0000 0.0000 7.6293
Ba Li Ag
4 4 4
direct
0.0000 0.0000 0.0000 Ba
0.0000 0.5000 0.5000 Ba
0.5000 0.0000 0.5000 Ba
0.5000 0.5000 0.0000 Ba
0.0000 0.0000 0.5000 Li
0.0000 0.5000 0.0000 Li
0.5000 0.0000 0.0000 Li
0.5000 0.5000 0.5000 Li
0.2500 0.2500 0.2500 Ag
0.2500 0.7500 0.7500 Ag
0.7500 0.2500 0.7500 Ag
0.7500 0.7500 0.2500 Ag
```

The value obtained for the relative energy among the computed polymorphs is 154 meV/atom. As for the total energy: -2.260 eV/atom. For the formation energy from the elements, the calculation gives -2.97 kJ per mole of atoms.

Record 11
Density functional theory data (GGA-PBE) for a geometry-optimized Ba2Li3Ag2 structure.

Structure (POSCAR):
```
Ba2Li3Ag2
1.0
12.2421 0.0000 0.0000
0.0000 4.5680 0.0000
-3.8141 0.0000 7.3436
Ba Li Ag
4 6 4
direct
0.1324 0.0000 0.2656 Ba
0.3676 0.5000 0.7344 Ba
0.6324 0.5000 0.2656 Ba
0.8676 0.0000 0.7344 Ba
0.0000 0.5000 0.5000 Li
0.1583 0.5000 0.9244 Li
0.3417 0.0000 0.0756 Li
0.5000 0.0000 0.5000 Li
0.6583 0.0000 0.9244 Li
0.8417 0.5000 0.0756 Li
0.1366 0.0000 0.7009 Ag
0.3634 0.5000 0.2991 Ag
0.6366 0.5000 0.7009 Ag
0.8634 0.0000 0.2991 Ag
```

As for the total energy: -2.338 eV/atom. For the formation energy from the elements, the calculation gives -14.79 kJ per mole of atoms.

Record 12
Density functional theory data (GGA-PBE) for a geometry-optimized Ba2LiAg2 structure.

Structure (POSCAR):
```
Ba2LiAg2
1.0
8.6195 0.0000 0.0000
0.0000 8.6195 0.0000
0.0000 0.0000 4.7052
Ba Li Ag
4 2 4
direct
0.1755 0.3245 0.0000 Ba
0.3245 0.8245 0.0000 Ba
0.6755 0.1755 0.0000 Ba
0.8245 0.6755 0.0000 Ba
0.0000 0.0000 0.5000 Li
0.5000 0.5000 0.5000 Li
0.1207 0.6207 0.5000 Ag
0.3793 0.1207 0.5000 Ag
0.6207 0.8793 0.5000 Ag
0.8793 0.3793 0.5000 Ag
```

The value obtained for the relative energy among the computed polymorphs is 26 meV/atom. As for the total energy: -2.488 eV/atom. For the formation energy from the elements, the calculation gives -18.87 kJ per mole of atoms.